1.
CuPt2S | GGA-PBE | optimized geometry

Values from the calculation:
Mass density ... 12.66 g cm⁻³
Crystal system ... tetragonal
Raw total energy ... -4.9258 eV/atom
Raw formation energy ... 3.5 kcal/mol of atoms

Lattice parameters (Å, degrees): 3.9256 3.9256 16.5418 90.00 90.00 90.00
Space group I-42d (No. 122)
Symmetry-distinct sites (fractional):
1 Cu 0.0000 0.0000 0.0000 (multiplicity 4)
2 Pt 0.2360 0.2500 0.6250 (multiplicity 8)
3 S 0.0000 0.0000 0.5000 (multiplicity 4)



2.
Cu3PtS | GGA-PBE | optimized geometry

Values from the calculation:
Mass density ... 6.78 g cm⁻³
Crystal system ... cubic
Raw total energy ... -3.5059 eV/atom
Raw formation energy ... 22.7 kcal/mol of atoms
Offset from the most stable computed form ... 656.7 meV per atom

Lattice parameters (Å, degrees): 4.6777 4.6777 4.6777 90.00 90.00 90.00
Space group Pm-3m (No. 221)
Symmetry-distinct sites (fractional):
1 Cu 0.0000 0.0000 0.5000 (multiplicity 3)
2 Pt 0.0000 0.0000 0.0000 (multiplicity 1)
3 S 0.5000 0.5000 0.5000 (multiplicity 1)



3.
Cu3PtS | GGA-PBE | optimized geometry

Values from the calculation:
Mass density ... 8.99 g cm⁻³
Crystal system ... cubic
Raw total energy ... -4.1626 eV/atom
Raw formation energy ... 7.6 kcal/mol of atoms
Offset from the most stable computed form ... 0.0 meV per atom

Lattice parameters (Å, degrees): 4.2572 4.2572 4.2572 90.00 90.00 90.00
Space group Pm-3m (No. 221)
Symmetry-distinct sites (fractional):
1 Cu 0.0000 0.0000 0.5000 (multiplicity 3)
2 Pt 0.5000 0.5000 0.5000 (multiplicity 1)
3 S 0.0000 0.0000 0.0000 (multiplicity 1)



4.
Cu2PtS2 | GGA-PBE | optimized geometry

Values from the calculation:
Mass density ... 8.48 g cm⁻³
Crystal system ... tetragonal
Raw total energy ... -4.1281 eV/atom
Raw formation energy ... 8.5 kcal/mol of atoms
Offset from the most stable computed form ... 262.0 meV per atom

Lattice parameters (Å, degrees): 3.4545 3.4545 12.6807 90.00 90.00 90.00
Space group I4/mmm (No. 139)
Symmetry-distinct sites (fractional):
1 Cu 0.0000 0.5000 0.2500 (multiplicity 4)
2 Pt 0.0000 0.0000 0.0000 (multiplicity 2)
3 S 0.0000 0.0000 0.3825 (multiplicity 4)



What did the fourth record say?
Cu2PtS2 | GGA-PBE | optimized geometry

Values from the calculation:
Mass density ... 8.48 g cm⁻³
Crystal system ... tetragonal
Raw total energy ... -4.1281 eV/atom
Raw formation energy ... 8.5 kcal/mol of atoms
Offset from the most stable computed form ... 262.0 meV per atom

Lattice parameters (Å, degrees): 3.4545 3.4545 12.6807 90.00 90.00 90.00
Space group I4/mmm (No. 139)
Symmetry-distinct sites (fractional):
1 Cu 0.0000 0.5000 0.2500 (multiplicity 4)
2 Pt 0.0000 0.0000 0.0000 (multiplicity 2)
3 S 0.0000 0.0000 0.3825 (multiplicity 4)